[1]
Material: PdPbSO
Method: DFT, PBE-GGA
State: optimized geometry

CIF file:
```
data_PdPbSO
_chemical_formula_sum 'Pd2 Pb2 S2 O2'
_symmetry_space_group_name_H-M 'P 1'
_symmetry_Int_Tables_number 1
_cell_length_a 3.881
_cell_length_b 3.881
_cell_length_c 10.450
_cell_angle_alpha 90.00
_cell_angle_beta 90.00
_cell_angle_gamma 90.00
loop_
_symmetry_equiv_pos_as_xyz
'x,y,z'
loop_
_atom_site_label
_atom_site_type_symbol
_atom_site_fract_x
_atom_site_fract_y
_atom_site_fract_z
_atom_site_occupancy
Pd1 Pd 0.250 0.750 0.000 1
Pd2 Pd 0.750 0.250 0.000 1
O1 O 0.250 0.250 0.414 1
O2 O 0.750 0.750 0.586 1
S1 S 0.250 0.250 0.134 1
S2 S 0.750 0.750 0.866 1
Pb1 Pb 0.750 0.750 0.376 1
Pb2 Pb 0.250 0.250 0.624 1
```

Results
ρ: 7.63 Mg/m³
Raw total energy: -4.9301 eV per atom

[2]
Material: PdPbSO
Method: DFT, PBE-GGA
State: optimized geometry

CIF file:
```
data_PdPbSO
_chemical_formula_sum 'Pd2 Pb2 S2 O2'
_symmetry_space_group_name_H-M 'P 1'
_symmetry_Int_Tables_number 1
_cell_length_a 7.763
_cell_length_b 7.763
_cell_length_c 5.827
_cell_angle_alpha 90.00
_cell_angle_beta 90.00
_cell_angle_gamma 24.35
loop_
_symmetry_equiv_pos_as_xyz
'x,y,z'
loop_
_atom_site_label
_atom_site_type_symbol
_atom_site_fract_x
_atom_site_fract_y
_atom_site_fract_z
_atom_site_occupancy
Pd1 Pd 0.417 0.417 0.750 1
Pd2 Pd 0.583 0.583 0.250 1
O1 O 0.000 0.000 0.000 1
O2 O 0.000 0.000 0.500 1
Pb1 Pb 0.119 0.119 0.750 1
Pb2 Pb 0.881 0.881 0.250 1
S1 S 0.188 0.188 0.250 1
S2 S 0.812 0.812 0.750 1
```

Results
ρ: 8.30 Mg/m³
Raw total energy: -4.7654 eV per atom

[3]
Material: PdPbSO
Method: DFT, PBE-GGA
State: optimized geometry

CIF file:
```
data_PdPbSO
_chemical_formula_sum 'Pd2 Pb2 S2 O2'
_symmetry_space_group_name_H-M 'P 1'
_symmetry_Int_Tables_number 1
_cell_length_a 6.151
_cell_length_b 6.151
_cell_length_c 6.206
_cell_angle_alpha 90.00
_cell_angle_beta 90.00
_cell_angle_gamma 42.46
loop_
_symmetry_equiv_pos_as_xyz
'x,y,z'
loop_
_atom_site_label
_atom_site_type_symbol
_atom_site_fract_x
_atom_site_fract_y
_atom_site_fract_z
_atom_site_occupancy
S1 S 0.083 0.083 0.073 1
S2 S 0.917 0.917 0.573 1
Pb1 Pb 0.827 0.827 0.003 1
Pb2 Pb 0.173 0.173 0.503 1
O1 O 0.614 0.614 0.402 1
O2 O 0.386 0.386 0.902 1
Pd1 Pd 0.520 0.520 0.130 1
Pd2 Pd 0.480 0.480 0.630 1
```

Results
ρ: 7.58 Mg/m³
Raw total energy: -4.9561 eV per atom

[4]
Material: PdPbSO
Method: DFT, PBE-GGA
State: optimized geometry

CIF file:
```
data_PdPbSO
_chemical_formula_sum 'Pd2 Pb2 S2 O2'
_symmetry_space_group_name_H-M 'P 1'
_symmetry_Int_Tables_number 1
_cell_length_a 4.059
_cell_length_b 4.059
_cell_length_c 9.010
_cell_angle_alpha 90.00
_cell_angle_beta 90.00
_cell_angle_gamma 90.00
loop_
_symmetry_equiv_pos_as_xyz
'x,y,z'
loop_
_atom_site_label
_atom_site_type_symbol
_atom_site_fract_x
_atom_site_fract_y
_atom_site_fract_z
_atom_site_occupancy
O1 O 0.250 0.250 0.897 1
O2 O 0.750 0.750 0.103 1
Pd1 Pd 0.250 0.250 0.643 1
Pd2 Pd 0.750 0.750 0.357 1
Pb1 Pb 0.750 0.750 0.857 1
Pb2 Pb 0.250 0.250 0.143 1
S1 S 0.250 0.750 0.500 1
S2 S 0.750 0.250 0.500 1
```

Results
ρ: 8.09 Mg/m³
Raw total energy: -4.8334 eV per atom

[5]
Material: PdPbSO
Method: DFT, PBE-GGA
State: optimized geometry

CIF file:
```
data_PdPbSO
_chemical_formula_sum 'Pd2 Pb2 S2 O2'
_symmetry_space_group_name_H-M 'P 1'
_symmetry_Int_Tables_number 1
_cell_length_a 3.439
_cell_length_b 3.439
_cell_length_c 14.225
_cell_angle_alpha 90.00
_cell_angle_beta 90.00
_cell_angle_gamma 60.00
loop_
_symmetry_equiv_pos_as_xyz
'x,y,z'
loop_
_atom_site_label
_atom_site_type_symbol
_atom_site_fract_x
_atom_site_fract_y
_atom_site_fract_z
_atom_site_occupancy
S1 S 0.667 0.667 0.845 1
S2 S 0.333 0.333 0.345 1
Pb1 Pb 0.000 0.000 0.025 1
Pb2 Pb 0.000 0.000 0.525 1
O1 O 0.000 0.000 0.685 1
O2 O 0.000 0.000 0.185 1
Pd1 Pd 0.667 0.667 0.257 1
Pd2 Pd 0.333 0.333 0.757 1
```

Results
ρ: 8.25 Mg/m³
Raw total energy: -4.7985 eV per atom

[6]
Material: PdPbSO
Method: DFT, PBE-GGA
State: optimized geometry

CIF file:
```
data_PdPbSO
_chemical_formula_sum 'Pd4 Pb4 S4 O4'
_symmetry_space_group_name_H-M 'P 1'
_symmetry_Int_Tables_number 1
_cell_length_a 6.501
_cell_length_b 7.920
_cell_length_c 5.847
_cell_angle_alpha 90.00
_cell_angle_beta 90.00
_cell_angle_gamma 90.00
loop_
_symmetry_equiv_pos_as_xyz
'x,y,z'
loop_
_atom_site_label
_atom_site_type_symbol
_atom_site_fract_x
_atom_site_fract_y
_atom_site_fract_z
_atom_site_occupancy
S1 S 0.970 0.352 0.462 1
S2 S 0.530 0.352 0.962 1
S3 S 0.470 0.648 0.462 1
S4 S 0.030 0.648 0.962 1
Pb1 Pb 0.552 0.289 0.475 1
Pb2 Pb 0.052 0.711 0.475 1
Pb3 Pb 0.948 0.289 0.975 1
Pb4 Pb 0.448 0.711 0.975 1
Pd1 Pd 0.836 0.884 0.066 1
Pd2 Pd 0.164 0.116 0.566 1
Pd3 Pd 0.664 0.884 0.566 1
Pd4 Pd 0.336 0.116 0.066 1
O1 O 0.379 0.976 0.747 1
O2 O 0.879 0.024 0.747 1
O3 O 0.121 0.976 0.247 1
O4 O 0.621 0.024 0.247 1
```

Results
ρ: 7.98 Mg/m³
Raw total energy: -4.7838 eV per atom

[7]
Material: PdPbSO
Method: DFT, PBE-GGA
State: optimized geometry

CIF file:
```
data_PdPbSO
_chemical_formula_sum 'Pd2 Pb2 S2 O2'
_symmetry_space_group_name_H-M 'P 1'
_symmetry_Int_Tables_number 1
_cell_length_a 4.677
_cell_length_b 4.677
_cell_length_c 7.437
_cell_angle_alpha 90.00
_cell_angle_beta 90.00
_cell_angle_gamma 90.00
loop_
_symmetry_equiv_pos_as_xyz
'x,y,z'
loop_
_atom_site_label
_atom_site_type_symbol
_atom_site_fract_x
_atom_site_fract_y
_atom_site_fract_z
_atom_site_occupancy
Pb1 Pb 0.250 0.750 0.000 1
Pb2 Pb 0.750 0.250 0.000 1
S1 S 0.250 0.250 0.286 1
S2 S 0.750 0.750 0.714 1
O1 O 0.250 0.250 0.490 1
O2 O 0.750 0.750 0.510 1
Pd1 Pd 0.250 0.250 0.788 1
Pd2 Pd 0.750 0.750 0.212 1
```

Results
ρ: 7.38 Mg/m³
Raw total energy: -4.5922 eV per atom

[8]
Material: PdPbSO
Method: DFT, PBE-GGA
State: optimized geometry

CIF file:
```
data_PdPbSO
_chemical_formula_sum 'Pd8 Pb8 S8 O8'
_symmetry_space_group_name_H-M 'P 1'
_symmetry_Int_Tables_number 1
_cell_length_a 7.569
_cell_length_b 13.826
_cell_length_c 6.058
_cell_angle_alpha 90.00
_cell_angle_beta 90.00
_cell_angle_gamma 90.00
loop_
_symmetry_equiv_pos_as_xyz
'x,y,z'
loop_
_atom_site_label
_atom_site_type_symbol
_atom_site_fract_x
_atom_site_fract_y
_atom_site_fract_z
_atom_site_occupancy
Pd1 Pd 0.016 0.270 0.749 1
Pd2 Pd 0.484 0.730 0.249 1
Pd3 Pd 0.984 0.730 0.251 1
Pd4 Pd 0.516 0.230 0.251 1
Pd5 Pd 0.516 0.270 0.751 1
Pd6 Pd 0.484 0.770 0.749 1
Pd7 Pd 0.984 0.770 0.751 1
Pd8 Pd 0.016 0.230 0.249 1
Pb1 Pb 0.761 0.401 0.400 1
Pb2 Pb 0.739 0.901 0.400 1
Pb3 Pb 0.261 0.401 0.100 1
Pb4 Pb 0.739 0.599 0.900 1
Pb5 Pb 0.239 0.599 0.600 1
Pb6 Pb 0.239 0.901 0.100 1
Pb7 Pb 0.261 0.099 0.600 1
Pb8 Pb 0.761 0.099 0.900 1
O1 O 0.734 0.740 0.135 1
O2 O 0.234 0.760 0.865 1
O3 O 0.234 0.740 0.365 1
O4 O 0.734 0.760 0.635 1
O5 O 0.266 0.240 0.365 1
O6 O 0.766 0.240 0.135 1
O7 O 0.766 0.260 0.635 1
O8 O 0.266 0.260 0.865 1
S1 S 0.500 0.063 0.240 1
S2 S 0.000 0.437 0.760 1
S3 S 0.000 0.063 0.260 1
S4 S 0.000 0.563 0.240 1
S5 S 0.500 0.563 0.260 1
S6 S 0.500 0.937 0.760 1
S7 S 0.000 0.937 0.740 1
S8 S 0.500 0.437 0.740 1
```

Results
ρ: 7.58 Mg/m³
Raw total energy: -4.7437 eV per atom